## a
A plane-wave DFT calculation with GGA-PBE was carried out for a relaxed CsP3Rh crystal.

a b c (Å): 4.8594 4.8594 4.8594
angles (deg): 90.00 90.00 90.00
Last column: nearest neighbours and their distance in Å.
Space group Pm-3m (No. 221)
One atom of each set of equivalent atoms:
Cs  0.0000  0.0000  0.0000 (multiplicity 1)  12 P 3.44
P  0.0000  0.5000  0.5000 (multiplicity 3)  2 Rh 2.43
Rh  0.5000  0.5000  0.5000 (multiplicity 1)  6 P 2.43

Summary:
Crystal system: cubic

## b
A plane-wave DFT calculation with GGA-PBE was carried out for a relaxed CsP3Rh crystal.

a b c (Å): 5.3019 5.3019 5.3019
angles (deg): 90.00 90.00 90.00
Last column: nearest neighbours and their distance in Å.
Space group Pm-3m (No. 221)
One atom of each set of equivalent atoms:
Cs  0.0000  0.0000  0.0000 (multiplicity 1)  6 P 2.65
P  0.0000  0.0000  0.5000 (multiplicity 3)  2 Cs 2.65
Rh  0.5000  0.5000  0.5000 (multiplicity 1)  12 P 3.75

Summary:
Crystal system: cubic

Energies relative to the minimum, eV/atom: a 0.000; b 2.128

## a
A plane-wave DFT calculation with GGA-PBE was carried out for a relaxed CsP2RhS crystal.

a b c (Å): 4.6254 4.6254 5.5435
angles (deg): 90.00 90.00 90.00
Last column: nearest neighbours and their distance in Å.
Space group P4/mmm (No. 123)
One atom of each set of equivalent atoms:
Cs  0.0000  0.0000  0.0000 (multiplicity 1)  4 S 3.27, 8 P 3.61
P  0.0000  0.5000  0.5000 (multiplicity 2)  2 Rh 2.31
Rh  0.5000  0.5000  0.5000 (multiplicity 1)  4 P 2.31
S  0.5000  0.5000  0.0000 (multiplicity 1)  2 Rh 2.77

Summary:
Crystal system: tetragonal

## b
A plane-wave DFT calculation with GGA-PBE was carried out for a relaxed CsP2RhS crystal.

a b c (Å): 5.4950 5.4950 5.2302
angles (deg): 90.00 90.00 90.00
Last column: nearest neighbours and their distance in Å.
Space group P4/mmm (No. 123)
One atom of each set of equivalent atoms:
Cs  0.0000  0.0000  0.0000 (multiplicity 1)  2 S 2.62, 4 P 2.75
P  0.0000  0.5000  0.0000 (multiplicity 2)  2 Cs 2.75
Rh  0.5000  0.5000  0.5000 (multiplicity 1)  8 P 3.79, 4 S 3.89
S  0.0000  0.0000  0.5000 (multiplicity 1)  2 Cs 2.62

Summary:
Crystal system: tetragonal

Energies relative to the minimum, eV/atom: a 0.000; b 2.211

## a
A plane-wave DFT calculation with GGA-PBE was carried out for a relaxed CsTePRh crystal.

a b c (Å): 3.8689 5.8496 6.5852
angles (deg): 70.04 89.92 70.70
Last column: nearest neighbours and their distance in Å.
Space group P1 (No. 1)
One atom of each set of equivalent atoms:
Cs  0.0000  0.0000  0.0000 (multiplicity 1)  4 Rh 3.82-4.07, 5 P 3.84-4.15, 2 Cs 3.87, 5 Te 3.92-4.19
Te  0.3684  0.2614  0.3964 (multiplicity 1)  1 P 2.53, 1 Rh 2.58
P  0.6177  0.7739  0.5959 (multiplicity 1)  2 Rh 2.21
Rh  0.2162  0.5764  0.6058 (multiplicity 1)  2 P 2.21

Summary:
Crystal system: triclinic

## b
A plane-wave DFT calculation with GGA-PBE was carried out for a relaxed CsTePRh crystal.

a b c (Å): 7.0624 3.8986 8.2497
angles (deg): 90.00 107.13 90.00
Last column: nearest neighbours and their distance in Å.
Space group Cm (No. 8)
One atom of each set of equivalent atoms:
Cs  0.0000  0.0000  0.0000 (multiplicity 2)  3 P 3.39-3.40
Te  0.1852  0.0000  0.5974 (multiplicity 2)  3 Rh 2.68-2.71
P  0.4370  0.0000  0.3165 (multiplicity 2)  3 Rh 2.43-2.46
Rh  0.3007  0.5000  0.4183 (multiplicity 2)  3 P 2.43-2.46, 3 Te 2.68-2.71

Summary:
Crystal system: monoclinic

Energies relative to the minimum, eV/atom: a 0.134; b 0.000

## a
A plane-wave DFT calculation with GGA-PBE was carried out for a relaxed CsTePRh crystal.

a b c (Å): 4.0452 6.0757 5.6189
angles (deg): 90.00 90.00 90.00
Last column: nearest neighbours and their distance in Å.
Space group Pmm2 (No. 25)
One atom of each set of equivalent atoms:
Cs  0.0000  0.0000  0.0000 (multiplicity 1)  2 Rh 3.80, 4 P 3.87, 4 Te 3.96, 2 Cs 4.05
Te  0.5000  0.5000  0.2744 (multiplicity 1)  2 Rh 2.70, 2 P 2.79-2.83
P  0.5000  0.5000  0.7714 (multiplicity 1)  2 Rh 2.26
Rh  0.0000  0.5000  0.5925 (multiplicity 1)  2 P 2.26

Summary:
Crystal system: orthorhombic

## b
A plane-wave DFT calculation with GGA-PBE was carried out for a relaxed CsTePRh crystal.

a b c (Å): 4.8036 3.9346 6.7970
angles (deg): 90.00 107.13 90.00
Last column: nearest neighbours and their distance in Å.
Space group Pm (No. 6)
One atom of each set of equivalent atoms:
Cs  0.0000  0.0000  0.0000 (multiplicity 1)  2 Rh 3.47-3.70, 2 P 3.62
Te  0.6851  0.5000  0.4053 (multiplicity 1)  1 P 2.66, 2 Rh 2.69
P  0.2400  0.5000  0.6327 (multiplicity 1)  2 Rh 2.28
Rh  0.4203  0.0000  0.5519 (multiplicity 1)  2 P 2.28

Summary:
Crystal system: monoclinic

## c
A plane-wave DFT calculation with GGA-PBE was carried out for a relaxed CsTePRh crystal.

a b c (Å): 4.4486 4.9684 6.4779
angles (deg): 73.21 89.58 78.61
Last column: nearest neighbours and their distance in Å.
Space group P1 (No. 1)
One atom of each set of equivalent atoms:
Cs  0.0000  0.0000  0.0000 (multiplicity 1)  3 P 3.62-3.68, 2 Rh 3.94-4.05, 1 Te 4.05
Te  0.4666  0.2820  0.4392 (multiplicity 1)  1 P 2.56, 2 Rh 2.63-2.69
P  0.0981  0.6498  0.5759 (multiplicity 1)  2 Rh 2.23-2.26
Rh  0.5866  0.7179  0.5722 (multiplicity 1)  2 P 2.23-2.26

Summary:
Crystal system: triclinic

Energies relative to the minimum, eV/atom: a 0.033; b 0.000; c 0.010

## a
A plane-wave DFT calculation with GGA-PBE was carried out for a relaxed CsPRu3 crystal.

a b c (Å): 4.9140 4.9140 4.9140
angles (deg): 90.00 90.00 90.00
Last column: nearest neighbours and their distance in Å.
Space group Pm-3m (No. 221)
One atom of each set of equivalent atoms:
Cs  0.0000  0.0000  0.0000 (multiplicity 1)  6 Ru 2.46
P  0.5000  0.5000  0.5000 (multiplicity 1)  12 Ru 3.47
Ru  0.0000  0.0000  0.5000 (multiplicity 3)  2 Cs 2.46

Summary:
Crystal system: cubic

## b
A plane-wave DFT calculation with GGA-PBE was carried out for a relaxed CsPRu3 crystal.

a b c (Å): 4.5907 4.5907 4.5907
angles (deg): 90.00 90.00 90.00
Last column: nearest neighbours and their distance in Å.
Space group Pm-3m (No. 221)
One atom of each set of equivalent atoms:
Cs  0.0000  0.0000  0.0000 (multiplicity 1)  12 Ru 3.25
P  0.5000  0.5000  0.5000 (multiplicity 1)  6 Ru 2.30
Ru  0.0000  0.5000  0.5000 (multiplicity 3)  2 P 2.30

Summary:
Crystal system: cubic

Energies relative to the minimum, eV/atom: a 2.204; b 0.000

## a
A plane-wave DFT calculation with GGA-PBE was carried out for a relaxed CsPRuS2 crystal.

a b c (Å): 5.3499 5.3499 5.6798
angles (deg): 90.00 90.00 90.00
Last column: nearest neighbours and their distance in Å.
Space group P4/mmm (No. 123)
One atom of each set of equivalent atoms:
Cs  0.0000  0.0000  0.0000 (multiplicity 1)  4 S 2.67, 2 P 2.84
P  0.0000  0.0000  0.5000 (multiplicity 1)  2 Cs 2.84
Ru  0.5000  0.5000  0.5000 (multiplicity 1)  4 P 3.78, 8 S 3.90
S  0.0000  0.5000  0.0000 (multiplicity 2)  2 Cs 2.67

Summary:
Crystal system: tetragonal

## b
A plane-wave DFT calculation with GGA-PBE was carried out for a relaxed CsPRuS2 crystal.

a b c (Å): 5.0366 5.0366 4.5359
angles (deg): 90.00 90.00 90.00
Last column: nearest neighbours and their distance in Å.
Space group P4/mmm (No. 123)
One atom of each set of equivalent atoms:
Cs  0.0000  0.0000  0.0000 (multiplicity 1)  8 S 3.39, 4 P 3.56
P  0.5000  0.5000  0.0000 (multiplicity 1)  2 Ru 2.27
Ru  0.5000  0.5000  0.5000 (multiplicity 1)  2 P 2.27, 4 S 2.52
S  0.0000  0.5000  0.5000 (multiplicity 2)  2 Ru 2.52

Summary:
Crystal system: tetragonal

Energies relative to the minimum, eV/atom: a 2.229; b 0.000

## a
A plane-wave DFT calculation with GGA-PBE was carried out for a relaxed Cs2PS4 crystal.

a b c (Å): 7.6502 5.6647 12.3934
angles (deg): 90.00 96.33 90.00
Last column: nearest neighbours and their distance in Å.
Space group P2_1/m (No. 11)
One atom of each set of equivalent atoms:
Cs  0.2378  0.2500  0.4826 (multiplicity 2)  7 S 3.51-3.65
Cs  0.2446  0.2500  0.9106 (multiplicity 2)  6 S 3.52-3.68
P  0.2979  0.7500  0.2387 (multiplicity 2)  4 S 2.01-2.09
S  0.0897  0.7500  0.3267 (multiplicity 2)  1 P 2.03
S  0.2281  0.7500  0.0779 (multiplicity 2)  1 P 2.01
S  0.4864  0.0072  0.2880 (multiplicity 4)  1 P 2.09

Summary:
Crystal system: monoclinic

## b
A plane-wave DFT calculation with GGA-PBE was carried out for a relaxed Cs2PS4 crystal.

a b c (Å): 11.6224 15.0949 15.3624
angles (deg): 90.00 90.00 90.00
Last column: nearest neighbours and their distance in Å.
Space group Fmmm (No. 69)
One atom of each set of equivalent atoms:
Cs  0.0000  0.0000  0.2263 (multiplicity 8)  4 S 3.49
Cs  0.0000  0.2340  0.0000 (multiplicity 8)  4 S 3.49
P  0.2500  0.2500  0.2500 (multiplicity 8)  4 S 2.04
S  0.1512  0.1709  0.3276 (multiplicity 32)  1 P 2.04

Summary:
Crystal system: orthorhombic

Energies relative to the minimum, eV/atom: a 0.000; b 0.148

## a
A plane-wave DFT calculation with GGA-PBE was carried out for a relaxed CsSbP2S crystal.

a b c (Å): 5.5660 5.5660 5.1867
angles (deg): 90.00 90.00 90.00
Last column: nearest neighbours and their distance in Å.
Space group P4/mmm (No. 123)
One atom of each set of equivalent atoms:
Cs  0.0000  0.0000  0.0000 (multiplicity 1)  2 S 2.59, 4 P 2.78
Sb  0.5000  0.5000  0.5000 (multiplicity 1)  8 P 3.80, 4 S 3.94
P  0.0000  0.5000  0.0000 (multiplicity 2)  2 Cs 2.78
S  0.0000  0.0000  0.5000 (multiplicity 1)  2 Cs 2.59

Summary:
Crystal system: tetragonal

## b
A plane-wave DFT calculation with GGA-PBE was carried out for a relaxed CsSbP2S crystal.

a b c (Å): 5.2952 5.2952 5.3790
angles (deg): 90.00 90.00 90.00
Last column: nearest neighbours and their distance in Å.
Space group P4/mmm (No. 123)
One atom of each set of equivalent atoms:
Cs  0.0000  0.0000  0.0000 (multiplicity 1)  4 S 3.74, 8 P 3.77
Sb  0.5000  0.5000  0.5000 (multiplicity 1)  4 P 2.65, 2 S 2.69
P  0.0000  0.5000  0.5000 (multiplicity 2)  2 Sb 2.65
S  0.5000  0.5000  0.0000 (multiplicity 1)  2 Sb 2.69

Summary:
Crystal system: tetragonal

Energies relative to the minimum, eV/atom: a 1.433; b 0.000